A relaxed YTiGa2B crystal, computed with PBEsol.

Values from the calculation:
ΔH_f (0 K) (eV/atom): 1.254

The structure in POSCAR format:
```
YTiGa2B
1.0
4.818 0.000 0.000
0.000 4.818 0.000
0.000 0.000 4.903
Y Ti Ga B
1 1 2 1
direct
0.000 0.000 0.000 Y
0.000 0.000 0.500 Ti
0.000 0.500 0.500 Ga
0.500 0.000 0.500 Ga
0.500 0.500 0.000 B
```

=====

A relaxed TlGa3B crystal, computed with PBEsol.

Values from the calculation:
ΔH_f (0 K) (eV/atom): 1.631

The structure in POSCAR format:
```
TlGa3B
1.0
5.237 0.000 0.000
0.000 5.237 0.000
0.000 0.000 5.237
Tl Ga B
1 3 1
direct
0.000 0.000 0.000 Tl
0.000 0.000 0.500 Ga
0.000 0.500 0.000 Ga
0.500 0.000 0.000 Ga
0.500 0.500 0.500 B
```

=====

A relaxed GaBW2 crystal, computed with PBEsol.

Values from the calculation:
ΔH_f (0 K) (eV/atom): 0.622

The structure in POSCAR format:
```
GaBW2
1.0
0.000 2.949 2.949
2.949 0.000 2.949
2.949 2.949 0.000
Ga B W
1 1 2
direct
0.000 0.000 0.000 Ga
0.500 0.500 0.500 B
0.250 0.250 0.250 W
0.750 0.750 0.750 W
```

=====

A relaxed Gd2B5 crystal, computed with PBEsol.

Values from the calculation:
ΔH_f (0 K) (eV/atom): -0.631

The structure in POSCAR format:
```
Gd2B5
1.0
7.098 0.000 0.000
0.000 7.093 0.000
-1.566 0.000 6.944
Gd B
8 20
direct
0.234 0.193 0.129 Gd
0.234 0.307 0.629 Gd
0.242 0.685 0.255 Gd
0.242 0.815 0.755 Gd
0.758 0.185 0.245 Gd
0.758 0.315 0.745 Gd
0.766 0.693 0.371 Gd
0.766 0.807 0.871 Gd
0.075 0.509 0.926 B
0.075 0.991 0.426 B
0.315 0.502 0.960 B
0.315 0.998 0.460 B
0.497 0.174 0.460 B
0.497 0.326 0.960 B
0.497 0.539 0.826 B
0.497 0.961 0.326 B
0.499 0.589 0.589 B
0.499 0.911 0.089 B
0.501 0.089 0.911 B
0.501 0.411 0.411 B
0.503 0.039 0.674 B
0.503 0.461 0.174 B
0.503 0.674 0.040 B
0.503 0.826 0.540 B
0.685 0.002 0.540 B
0.685 0.498 0.040 B
0.925 0.009 0.574 B
0.925 0.491 0.074 B
```

=====

A relaxed LaGdB12 crystal, computed with PBEsol.

Values from the calculation:
ΔH_f (0 K) (eV/atom): -0.526

The structure in POSCAR format:
```
LaGdB12
1.0
4.111 0.000 0.000
0.000 4.111 0.000
0.000 0.000 8.216
La Gd B
1 1 12
direct
0.000 0.000 0.000 La
0.000 0.000 0.500 Gd
0.199 0.500 0.252 B
0.199 0.500 0.748 B
0.500 0.199 0.252 B
0.500 0.199 0.748 B
0.500 0.500 0.100 B
0.500 0.500 0.401 B
0.500 0.500 0.599 B
0.500 0.500 0.900 B
0.500 0.801 0.252 B
0.500 0.801 0.748 B
0.801 0.500 0.252 B
0.801 0.500 0.748 B
```

=====

A relaxed Li3GdB2O6 crystal, computed with PBEsol.

Values from the calculation:
ΔE_f (raw) (eV per atom): -2.6262

The structure in POSCAR format:
```
Li3GdB2O6
1.0
8.707 0.000 0.000
0.000 6.382 0.000
-4.561 0.000 8.961
Li Gd B O
12 4 8 24
direct
0.104 0.244 0.478 Li
0.104 0.256 0.978 Li
0.206 0.560 0.167 Li
0.206 0.940 0.667 Li
0.335 0.721 0.541 Li
0.335 0.779 0.041 Li
0.665 0.221 0.959 Li
0.665 0.279 0.459 Li
0.794 0.060 0.333 Li
0.794 0.440 0.833 Li
0.896 0.744 0.022 Li
0.896 0.756 0.522 Li
0.318 0.026 0.300 Gd
0.318 0.474 0.800 Gd
0.682 0.526 0.200 Gd
0.682 0.974 0.700 Gd
0.041 0.663 0.823 B
0.041 0.837 0.323 B
0.447 0.171 0.107 B
0.447 0.329 0.607 B
0.553 0.671 0.393 B
0.553 0.829 0.893 B
0.959 0.163 0.677 B
0.959 0.337 0.177 B
0.091 0.711 0.713 O
0.091 0.789 0.213 O
0.119 0.211 0.689 O
0.119 0.289 0.189 O
0.164 0.558 0.948 O
0.164 0.942 0.448 O
0.295 0.063 0.060 O
0.295 0.437 0.560 O
0.440 0.680 0.241 O
0.440 0.820 0.741 O
0.490 0.215 0.512 O
0.490 0.285 0.012 O
0.510 0.715 0.988 O
0.510 0.785 0.488 O
0.560 0.180 0.259 O
0.560 0.320 0.759 O
0.705 0.563 0.440 O
0.705 0.937 0.940 O
0.836 0.058 0.552 O
0.836 0.442 0.052 O
0.881 0.711 0.811 O
0.881 0.789 0.311 O
0.909 0.211 0.787 O
0.909 0.289 0.287 O
```

=====

A relaxed GdMnB4 crystal, computed with PBEsol.

Values from the calculation:
ΔH_f (0 K) (eV/atom): -0.676

The structure in POSCAR format:
```
GdMnB4
1.0
5.900 0.000 0.000
0.000 11.412 0.000
0.000 0.000 3.377
Gd Mn B
4 4 16
direct
0.125 0.151 0.000 Gd
0.375 0.651 0.000 Gd
0.625 0.349 0.000 Gd
0.875 0.849 0.000 Gd
0.126 0.417 0.000 Mn
0.374 0.917 0.000 Mn
0.626 0.083 0.000 Mn
0.874 0.583 0.000 Mn
0.025 0.690 0.500 B
0.112 0.546 0.500 B
0.139 0.967 0.500 B
0.221 0.817 0.500 B
0.279 0.317 0.500 B
0.361 0.467 0.500 B
0.388 0.046 0.500 B
0.475 0.190 0.500 B
0.525 0.810 0.500 B
0.612 0.954 0.500 B
0.639 0.533 0.500 B
0.721 0.683 0.500 B
0.779 0.183 0.500 B
0.861 0.033 0.500 B
0.888 0.454 0.500 B
0.975 0.310 0.500 B
```

=====

A relaxed GdNi4B crystal, computed with PBEsol.

Values from the calculation:
ΔH_f (0 K) (eV/atom): -0.502

The structure in POSCAR format:
```
GdNi4B
1.0
4.918 0.000 0.000
-2.459 4.259 0.000
0.000 0.000 6.890
Gd Ni B
2 8 2
direct
0.000 0.000 0.000 Gd
0.000 0.000 0.500 Gd
0.000 0.500 0.209 Ni
0.000 0.500 0.791 Ni
0.333 0.667 0.500 Ni
0.500 0.000 0.209 Ni
0.500 0.000 0.791 Ni
0.500 0.500 0.209 Ni
0.500 0.500 0.791 Ni
0.667 0.333 0.500 Ni
0.333 0.667 0.000 B
0.667 0.333 0.000 B
```

=====

A relaxed GdB2Os2 crystal, computed with PBEsol.

Values from the calculation:
ΔH_f (0 K) (eV/atom): -0.453

The structure in POSCAR format:
```
GdB2Os2
1.0
0.000 4.451 4.890
3.332 0.000 4.890
3.332 4.451 0.000
Gd B Os
2 4 4
direct
0.125 0.125 0.125 Gd
0.875 0.875 0.875 Gd
0.185 0.565 0.185 B
0.435 0.815 0.435 B
0.565 0.185 0.565 B
0.815 0.435 0.815 B
0.237 0.237 0.513 Os
0.487 0.487 0.763 Os
0.513 0.513 0.237 Os
0.763 0.763 0.487 Os
```

=====

A relaxed Ge3B crystal, computed with PBEsol.

Values from the calculation:
ΔH_f (0 K) (eV/atom): 0.935

The structure in POSCAR format:
```
Ge3B
1.0
0.000 3.124 3.124
3.124 0.000 3.124
3.124 3.124 0.000
Ge B
3 1
direct
0.000 0.000 0.000 Ge
0.250 0.250 0.250 Ge
0.750 0.750 0.750 Ge
0.500 0.500 0.500 B
```

=====

A relaxed HgGe3B crystal, computed with PBEsol.

Values from the calculation:
ΔH_f (0 K) (eV/atom): 1.820

The structure in POSCAR format:
```
HgGe3B
1.0
5.092 0.000 0.000
0.000 5.092 0.000
0.000 0.000 5.092
Hg Ge B
1 3 1
direct
0.000 0.000 0.000 Hg
0.000 0.000 0.500 Ge
0.000 0.500 0.000 Ge
0.500 0.000 0.000 Ge
0.500 0.500 0.500 B
```

=====

A relaxed HgGeB3 crystal, computed with PBEsol.

Values from the calculation:
ΔH_f (0 K) (eV/atom): 1.810

The structure in POSCAR format:
```
HgGeB3
1.0
4.173 0.000 0.000
0.000 4.173 0.000
0.000 0.000 4.173
Hg Ge B
1 1 3
direct
0.000 0.000 0.000 Hg
0.500 0.500 0.500 Ge
0.000 0.500 0.500 B
0.500 0.000 0.500 B
0.500 0.500 0.000 B
```

=====

A relaxed LiHgGeB2 crystal, computed with PBEsol.

Values from the calculation:
ΔH_f (0 K) (eV/atom): 1.488

The structure in POSCAR format:
```
LiHgGeB2
1.0
4.147 0.000 0.000
0.000 4.147 0.000
0.000 0.000 5.811
Li Hg Ge B
1 1 1 2
direct
0.000 0.000 0.000 Li
0.500 0.500 0.500 Hg
0.500 0.500 0.000 Ge
0.000 0.500 0.500 B
0.500 0.000 0.500 B
```

=====

A relaxed HgGeBP2 crystal, computed with PBEsol.

Values from the calculation:
ΔH_f (0 K) (eV/atom): 1.513

The structure in POSCAR format:
```
HgGeBP2
1.0
5.112 0.000 0.000
0.000 5.112 0.000
0.000 0.000 4.011
Hg Ge B P
1 1 1 2
direct
0.000 0.000 0.000 Hg
0.500 0.500 0.500 Ge
0.000 0.000 0.500 B
0.000 0.500 0.000 P
0.500 0.000 0.000 P
```

=====

A relaxed GeBI2 crystal, computed with PBEsol.

Values from the calculation:
ΔE_f (raw) (eV per atom): 1.0339

The structure in POSCAR format:
```
GeBI2
1.0
-3.739 3.739 3.610
3.739 -3.739 3.610
3.739 3.739 -3.610
Ge B I
2 2 4
direct
0.000 0.000 0.000 Ge
0.750 0.250 0.500 Ge
0.250 0.750 0.500 B
0.500 0.500 0.000 B
0.162 0.125 0.537 I
0.375 0.838 0.963 I
0.588 0.625 0.463 I
0.875 0.412 0.037 I
```

=====

A relaxed GeBTe2I crystal, computed with PBEsol.

Values from the calculation:
ΔE_f (raw) (eV per atom): 1.2858

The structure in POSCAR format:
```
GeBTe2I
1.0
5.323 0.000 0.000
0.000 5.323 0.000
0.000 0.000 5.581
Ge B Te I
1 1 2 1
direct
0.000 0.000 0.000 Ge
0.500 0.500 0.500 B
0.000 0.500 0.000 Te
0.500 0.000 0.000 Te
0.000 0.000 0.500 I
```

=====

A relaxed InGe3B crystal, computed with PBEsol.

Values from the calculation:
ΔH_f (0 K) (eV/atom): 0.549

The structure in POSCAR format:
```
InGe3B
1.0
4.446 0.000 0.000
0.000 4.446 0.000
0.000 0.000 4.446
In Ge B
1 3 1
direct
0.000 0.000 0.000 In
0.000 0.500 0.500 Ge
0.500 0.000 0.500 Ge
0.500 0.500 0.000 Ge
0.500 0.500 0.500 B
```

=====

A relaxed InGe2BN crystal, computed with PBEsol.

Values from the calculation:
ΔE_f (raw) (eV per atom): 2.0378

The structure in POSCAR format:
```
InGe2BN
1.0
5.273 0.000 0.000
0.000 5.273 0.000
0.000 0.000 3.895
In Ge B N
1 2 1 1
direct
0.000 0.000 0.000 In
0.000 0.500 0.000 Ge
0.500 0.000 0.000 Ge
0.500 0.500 0.500 B
0.000 0.000 0.500 N
```

=====

A relaxed K2Ge3B2O10 crystal, computed with PBEsol.

Values from the calculation:
ΔE_f (raw) (eV per atom): -2.0340

The structure in POSCAR format:
```
K2Ge3B2O10
1.0
7.938 -3.080 0.000
7.938 3.080 0.000
-7.834 0.000 8.935
K Ge B O
4 6 4 20
direct
0.149 0.149 0.387 K
0.510 0.015 0.115 K
0.851 0.851 0.613 K
0.985 0.490 0.885 K
0.091 0.909 0.000 Ge
0.140 0.613 0.316 Ge
0.387 0.860 0.684 Ge
0.475 0.443 0.825 Ge
0.557 0.525 0.175 Ge
0.836 0.164 0.500 Ge
0.413 0.427 0.558 B
0.573 0.587 0.442 B
0.599 0.119 0.923 B
0.881 0.401 0.077 B
0.010 0.498 0.127 O
0.067 0.179 0.126 O
0.068 0.063 0.660 O
0.171 0.561 0.453 O
0.234 0.739 0.113 O
0.261 0.766 0.887 O
0.382 0.361 0.629 O
0.412 0.317 0.854 O
0.425 0.488 0.323 O
0.439 0.829 0.547 O
0.502 0.990 0.873 O
0.512 0.575 0.677 O
0.589 0.195 0.473 O
0.639 0.618 0.371 O
0.659 0.218 0.089 O
0.683 0.588 0.146 O
0.782 0.341 0.911 O
0.805 0.411 0.527 O
0.821 0.933 0.874 O
0.937 0.932 0.340 O
```

=====

Across the entries above, volume takes the values 22.8 28.7 12.8 12.5 9.9 10.4 9.5 12.0 14.5 15.3 26.4 14.5 20.0 21.0 25.2 31.6 17.6 21.7 12.8 A^3/atom, respectively.